First-principles (PBE-GGA) data for TcMoAsSe2 after structural relaxation, as listed in Alexandria via LeMat-Bulk.

Cell and atoms, written as POSCAR:
```
TcMoAsSe2
1.0
4.884 0.000 0.000
0.000 4.884 0.000
0.000 0.000 4.971
As Mo Tc Se
1 1 1 2
direct
0.000 0.000 0.500 As
0.000 0.000 0.000 Mo
0.500 0.500 0.500 Tc
0.000 0.500 0.000 Se
0.500 0.000 0.000 Se
```

D(E_F): 0.932 states/eV per atom
Polymorph energy (0 for the lowest one): 0.000 eV per atom
Formation energy without anion corrections: 93.17 kJ per mole of atoms
VASP energy: -27.99 eV per cell
Space group: No. 123